Record 1
# KBiF4

KBiF4 at its PBEsol-relaxed geometry (SCAN, Alexandria).

The energy is -19.4497 eV per atom. The calculation puts the volume at 16.47 Å³ per atom. The energy relative to the elements, uncorrected is -60.07 kcal/mol of atoms. The total moment comes out at 0.1 Bohr magnetons per cell.

```
KBiF4
1.0
0.000 5.825 5.825
5.825 0.000 5.825
5.825 5.825 0.000
K Bi F
4 4 16
Direct
0.000 0.000 0.000
0.000 0.000 0.500
0.000 0.500 0.000
0.500 0.000 0.000
0.000 0.500 0.500
0.500 0.000 0.500
0.500 0.500 0.000
0.500 0.500 0.500
0.125 0.125 0.125
0.155 0.155 0.595
0.155 0.595 0.155
0.155 0.595 0.595
0.375 0.375 0.375
0.405 0.405 0.845
0.405 0.845 0.405
0.405 0.845 0.845
0.595 0.155 0.155
0.595 0.155 0.595
0.595 0.595 0.155
0.625 0.625 0.625
0.845 0.405 0.405
0.845 0.405 0.845
0.845 0.845 0.405
0.875 0.875 0.875
```



Record 2
# HfNbIrW2

HfNbIrW2 at its PBEsol-relaxed geometry (SCAN, Alexandria).

The energy is -59.5525 eV per atom. For the formation energy, the calculation gives 1.703 eV/atom. The calculation puts the volume at 20.70 Å³ per atom. The total moment comes out at 0.0 Bohr magnetons per cell.

```
HfNbIrW2
1.0
4.698 0.000 0.000
0.000 4.698 0.000
0.000 0.000 4.689
Hf Nb Ir W
1 1 1 2
Direct
0.000 0.000 0.000
0.500 0.500 0.500
0.500 0.500 0.000
0.000 0.500 0.500
0.500 0.000 0.500
```



Record 3
# YZrTe

YZrTe at its PBEsol-relaxed geometry (SCAN, Alexandria).

The energy is -32.3157 eV per atom. The calculation puts the volume at 25.70 Å³ per atom. The energy relative to the elements, uncorrected is -8.87 kcal/mol of atoms. The total moment comes out at 0.0 Bohr magnetons per cell.

```
YZrTe
1.0
4.903 0.000 0.000
-2.452 4.246 0.000
0.000 0.000 3.703
Y Zr Te
1 1 1
Direct
0.000 0.000 0.000
0.333 0.667 0.500
0.667 0.333 0.500
```



Record 4
# TeIrBr2

TeIrBr2 at its PBEsol-relaxed geometry (SCAN, Alexandria).

The energy is -36.3728 eV per atom. The calculation puts the volume at 27.59 Å³ per atom. The energy relative to the elements, uncorrected is 10.25 kcal/mol of atoms. The total moment comes out at 0.0 Bohr magnetons per cell.

```
TeIrBr2
1.0
1.783 1.029 10.021
-1.783 1.029 10.021
0.000 -2.059 10.021
Te Ir Br
1 1 2
Direct
0.000 0.000 0.000
0.500 0.500 0.500
0.119 0.119 0.119
0.881 0.881 0.881
```



Record 5
# Ti2MoOs

Ti2MoOs at its PBEsol-relaxed geometry (SCAN, Alexandria).

The energy is -35.2130 eV per atom. For the formation energy, the calculation gives -0.507 eV/atom. The calculation puts the volume at 14.68 Å³ per atom. The total moment comes out at 0.0 Bohr magnetons per cell.

```
Ti2MoOs
1.0
0.000 3.085 3.085
3.085 0.000 3.085
3.085 3.085 0.000
Ti Mo Os
2 1 1
Direct
0.250 0.250 0.250
0.750 0.750 0.750
0.000 0.000 0.000
0.500 0.500 0.500
```



Record 6
# La2FeCoO6

La2FeCoO6 at its PBEsol-relaxed geometry (SCAN, Alexandria).

The energy is -18.6758 eV per atom. The calculation puts the volume at 11.15 Å³ per atom. The energy relative to the elements, uncorrected is -63.94 kcal/mol of atoms. The total moment comes out at 10.0 Bohr magnetons per cell.

```
La2FeCoO6
1.0
5.443 0.000 0.000
0.000 5.383 0.000
-5.423 0.000 7.612
La Fe Co O
4 2 2 12
Direct
0.246 0.017 0.249
0.246 0.483 0.749
0.754 0.517 0.251
0.754 0.983 0.751
0.500 0.000 0.000
0.500 0.500 0.500
0.000 0.000 0.500
0.000 0.500 0.000
0.195 0.235 0.968
0.195 0.265 0.468
0.232 0.728 0.968
0.232 0.772 0.468
0.307 0.004 0.747
0.307 0.496 0.247
0.693 0.504 0.753
0.693 0.996 0.253
0.768 0.228 0.532
0.768 0.272 0.032
0.805 0.735 0.532
0.805 0.765 0.032
```



Record 7
# BaSbPCl2

BaSbPCl2 at its PBEsol-relaxed geometry (SCAN, Alexandria).

The energy is -21.5671 eV per atom. The calculation puts the volume at 29.23 Å³ per atom. The energy relative to the elements, uncorrected is -21.54 kcal/mol of atoms. The total moment comes out at 0.0 Bohr magnetons per cell.

```
BaSbPCl2
1.0
5.325 0.000 0.000
0.000 5.325 0.000
0.000 0.000 5.155
Ba Sb P Cl
1 1 1 2
Direct
0.000 0.000 0.000
0.500 0.500 0.500
0.500 0.500 0.000
0.000 0.500 0.500
0.500 0.000 0.500
```



Record 8
# HgPtAu2

HgPtAu2 at its PBEsol-relaxed geometry (SCAN, Alexandria).

The energy is -69.0987 eV per atom. For the formation energy, the calculation gives 0.069 eV/atom. The calculation puts the volume at 17.09 Å³ per atom. The total moment comes out at 0.0 Bohr magnetons per cell.

```
HgPtAu2
1.0
-2.055 2.055 4.046
2.055 -2.055 4.046
2.055 2.055 -4.046
Hg Pt Au
1 1 2
Direct
0.000 0.000 0.000
0.250 0.750 0.500
0.500 0.500 0.000
0.750 0.250 0.500
```



Record 9
# Tc2AgIr

Tc2AgIr at its PBEsol-relaxed geometry (SCAN, Alexandria).

The energy is -42.5473 eV per atom. For the formation energy, the calculation gives 0.599 eV/atom. The calculation puts the volume at 14.69 Å³ per atom. The total moment comes out at 0.0 Bohr magnetons per cell.

```
Tc2AgIr
1.0
2.792 0.000 0.000
0.000 4.509 0.000
0.000 0.000 4.669
Tc Ag Ir
2 1 1
Direct
0.000 0.000 0.000
0.500 0.500 0.000
0.000 0.500 0.500
0.500 0.000 0.500
```



Record 10
# KMgAg2

KMgAg2 at its PBEsol-relaxed geometry (SCAN, Alexandria).

The energy is -19.0092 eV per atom. For the formation energy, the calculation gives 0.000 eV/atom. The calculation puts the volume at 23.61 Å³ per atom. The total moment comes out at 0.0 Bohr magnetons per cell.

```
KMgAg2
1.0
3.200 0.000 0.000
0.000 3.776 0.000
0.000 0.000 7.818
K Mg Ag
1 1 2
Direct
0.000 0.000 0.000
0.000 0.000 0.500
0.500 0.500 0.319
0.500 0.500 0.681
```